Record 1
GdMgAlAu: optimized geometry, PBE.

abc: 4.935 4.935 4.935
angles: 60.00 60.00 60.00
Positions (direct):
Mg  0.250  0.250  0.250
Gd  0.750  0.750  0.750
Au  0.000  0.000  0.000
Al  0.500  0.500  0.500

Calculated values
Fermi-level density of states (states/eV/atom): 0.610
Electronic total energy (eV/atom): -6.1785
Crystal system: cubic
Total magnetic moment (μB per formula unit): 7.059
Space-group type: F-43m (216)
Energy of formation (eV per atom): -0.505

***

Record 2
Y4MnPt: optimized geometry, PBE.

abc: 6.060 6.060 6.060
angles: 60.00 60.00 60.00
Positions (direct):
Y  0.876  0.375  0.375
Y  0.375  0.375  0.876
Y  0.375  0.876  0.375
Y  0.375  0.375  0.375
Mn  0.750  0.750  0.750
Pt  0.000  0.000  0.000

Calculated values
Fermi-level density of states (states/eV/atom): 1.034
Electronic total energy (eV/atom): -6.2606
Crystal system: cubic
Total magnetic moment (μB per formula unit): 3.970
Space-group type: F-43m (216)
Energy of formation (eV per atom): 0.584

***

Record 3
Tb2DyCo9: optimized geometry, PBE.

abc: 4.976 4.976 8.633
angles: 73.25 73.25 60.00
Positions (direct):
Tb  0.860  0.860  0.419
Tb  0.140  0.140  0.581
Dy  0.000  0.000  0.000
Co  0.665  0.665  0.004
Co  0.335  0.335  0.996
Co  0.500  0.500  0.500
Co  0.418  0.418  0.243
Co  0.921  0.418  0.243
Co  0.418  0.921  0.243
Co  0.582  0.582  0.757
Co  0.582  0.079  0.757
Co  0.079  0.582  0.757

Calculated values
Fermi-level density of states (states/eV/atom): 1.366
Electronic total energy (eV/atom): -6.6507
Crystal system: trigonal
Total magnetic moment (μB per formula unit): 10.544
Space-group type: R-3m (166)
Energy of formation (eV per atom): -0.166

***

Record 4
Tl2PtPb: optimized geometry, PBE.

abc: 4.076 4.659 6.326
angles: 59.26 90.00 90.00
Positions (direct):
Pb  0.500  0.500  0.500
Pt  0.000  0.000  0.500
Tl  0.000  0.000  0.000
Tl  0.500  0.500  0.000

Calculated values
Energy relative to the lowest polymorph listed for this composition (meV/atom): 206
Fermi-level density of states (states/eV/atom): 0.403
Electronic total energy (eV/atom): -3.4647
Crystal system: monoclinic
Total magnetic moment (μB per formula unit): 0.000
Space-group type: P2/m (10)
Energy of formation (eV per atom): 0.156

***

Record 5
Tm2GaPd4: optimized geometry, PBE.

abc: 4.628 4.628 7.800
angles: 107.26 107.26 90.00
Positions (direct):
Tm  0.637  0.637  0.274
Tm  0.363  0.363  0.726
Ga  0.000  0.000  0.000
Pd  0.826  0.826  0.652
Pd  0.174  0.174  0.348
Pd  0.000  0.500  0.000
Pd  0.500  0.000  0.000

Calculated values
Fermi-level density of states (states/eV/atom): 0.528
Electronic total energy (eV/atom): -5.1014
Crystal system: tetragonal
Total magnetic moment (μB per formula unit): 0.000
Space-group type: I4/mmm (139)
Energy of formation (eV per atom): -0.424

***

Record 6
NpB4Rh12: optimized geometry, PBE.

abc: 6.728 6.728 6.728
angles: 109.47 109.47 109.47
Positions (direct):
Np  0.000  0.000  0.000
B  0.000  0.500  0.000
B  0.500  0.000  0.000
B  0.500  0.500  0.500
B  0.000  0.000  0.500
Rh  0.829  0.317  0.146
Rh  0.317  0.487  0.171
Rh  0.854  0.171  0.683
Rh  0.317  0.146  0.829
Rh  0.146  0.829  0.317
Rh  0.683  0.513  0.829
Rh  0.487  0.171  0.317
Rh  0.513  0.829  0.683
Rh  0.683  0.854  0.171
Rh  0.829  0.683  0.513
Rh  0.171  0.317  0.487
Rh  0.171  0.683  0.854

Calculated values
Fermi-level density of states (states/eV/atom): 1.178
Electronic total energy (eV/atom): -7.6367
Crystal system: cubic
Total magnetic moment (μB per formula unit): 0.494
Space-group type: Im-3 (204)
Energy of formation (eV per atom): -0.115

***

Record 7
CaPmBeCu: optimized geometry, PBE.

abc: 4.989 4.989 4.989
angles: 60.00 60.00 60.00
Positions (direct):
Be  0.750  0.750  0.750
Ca  0.000  0.000  0.000
Cu  0.250  0.250  0.250
Pm  0.500  0.500  0.500

Calculated values
Fermi-level density of states (states/eV/atom): 0.876
Electronic total energy (eV/atom): -3.5579
Crystal system: cubic
Total magnetic moment (μB per formula unit): 0.000
Space-group type: F-43m (216)
Energy of formation (eV per atom): 0.086

***

Record 8
Sc2InCl: optimized geometry, PBE.

abc: 5.134 5.134 5.134
angles: 60.00 60.00 60.00
Positions (direct):
Cl  0.500  0.500  0.500
In  0.750  0.750  0.750
Sc  0.000  0.000  0.000
Sc  0.250  0.250  0.250

Calculated values
Energy relative to the lowest polymorph listed for this composition (meV/atom): 870
Fermi-level density of states (states/eV/atom): 1.437
Electronic total energy (eV/atom): -4.2152
E_form (uncorrected) (eV/atom): 0.097
Crystal system: cubic
Total magnetic moment (μB per formula unit): 0.484
Space-group type: F-43m (216)